[1]
HfH2Pt2 after structural relaxation. Source: the Alexandria database, functional PBE.

calculated density: 15497 kg/m³
crystal system: tetragonal
spin magnetization: 0.000 μB/cell
total energy: -6.293 eV/atom

The structure in extended XYZ format:
```
10
Lattice="5.770 0.000 0.000 0.000 5.770 0.000 0.000 0.000 3.674" Properties=species:S:1:pos:R:3 pbc="T T T"
Hf 0.000 0.000 0.000
Hf 2.885 2.885 0.000
H 0.872 2.013 0.000
H 2.013 4.898 0.000
H 3.757 0.872 0.000
H 4.898 3.757 0.000
Pt 0.947 1.938 1.837
Pt 1.938 4.823 1.837
Pt 3.832 0.947 1.837
Pt 4.823 3.832 1.837
```

***

[2]
Hf5HPt2 after structural relaxation. Source: the Alexandria database, functional PBE.

calculated density: 14363 kg/m³
crystal system: tetragonal
spin magnetization: 0.000 μB/cell
total energy: -8.563 eV/atom

The structure in extended XYZ format:
```
8
Lattice="-3.239 3.239 3.536 3.239 -3.239 3.536 3.239 3.239 -3.536" Properties=species:S:1:pos:R:3 pbc="T T T"
Hf 0.000 0.000 0.000
Hf 1.635 1.635 -1.739
Hf 1.605 -1.605 1.796
Hf -1.605 1.605 1.796
Hf 1.605 1.605 1.796
H 0.000 0.000 5.058
Pt 3.239 0.000 0.024
Pt 0.000 3.239 0.024
```

***

[3]
Hf3HPt after structural relaxation. Source: the Alexandria database, functional PBE.

calculated density: 13555 kg/m³
crystal system: triclinic
spin magnetization: 0.000 μB/cell
total energy: -8.238 eV/atom

The structure in extended XYZ format:
```
10
Lattice="3.252 0.000 0.000 0.000 7.721 0.000 -1.621 -2.560 7.140" Properties=species:S:1:pos:R:3 pbc="T T T"
Hf 0.002 1.481 0.343
Hf 0.000 4.282 2.032
Hf 0.006 5.799 4.949
Hf 1.624 -0.638 2.191
Hf 1.631 0.879 5.108
Hf 1.629 3.680 6.797
H 0.000 6.066 2.921
H 1.631 -0.905 4.219
Pt 0.004 3.043 4.679
Pt 1.626 2.118 2.461
```

***

[4]
Hf6HPt3 after structural relaxation. Source: the Alexandria database, functional PBE.

calculated density: 14667 kg/m³
crystal system: monoclinic
spin magnetization: 0.000 μB/cell
total energy: -8.725 eV/atom

The structure in extended XYZ format:
```
20
Lattice="5.828 0.000 0.000 0.000 7.179 0.000 -5.751 0.000 8.969" Properties=species:S:1:pos:R:3 pbc="T T T"
Hf -1.016 0.452 2.129
Hf -3.891 3.138 6.614
Hf 0.826 5.196 0.635
Hf -2.049 5.572 5.119
Hf 2.002 1.057 0.428
Hf -0.874 2.533 4.912
Hf 0.951 4.646 4.056
Hf -1.925 6.122 8.541
Hf 2.127 1.607 3.849
Hf -0.749 1.983 8.334
Hf 3.968 4.041 2.355
Hf 1.093 6.727 6.839
H 0.000 0.000 0.000
H -2.876 3.590 4.484
Pt -2.331 0.764 6.400
Pt 0.544 2.826 1.915
Pt 0.039 0.000 4.484
Pt 2.914 3.590 0.000
Pt -0.467 4.353 7.053
Pt 2.408 6.415 2.569
```

***

- The lowest total energy belongs to which entry?
  Hf6HPt3

***

- Look up the total energy of the first one.
  -6.293 eV/atom